{"formula": "LaZrCu2", "functional": "PBE-GGA", "state": "optimized geometry", "dft_energy_ev_per_atom": -5.387, "density_g_cm3": 7.08, "formation_energy_ev_per_atom": 0.030, "spacegroup": "Fm-3m, No. 225", "e_above_lowest_polymorph_ev_per_atom": 0.1241, "cell": [[-0.630, -4.250, -2.383], [1.485, -4.210, 2.051], [-3.313, -3.251, 1.609]], "species": ["Cu", "Cu", "La", "Zr"], "frac_coords": [[0.250, 0.250, 0.250], [0.750, 0.750, 0.750], [0.500, 0.500, 0.500], [0.000, 0.000, 0.000]]}